No. 1
Density functional theory data (PBE) for a relaxed structure of LaBiPdAu.

Volume ... 95.8 Å³/cell
Energy of formation from the pure elements ... -0.68 eV/atom

Cell: 5.136 5.136 5.136 Å, 60.00 60.00 60.00°
Element x y z (fractional)
Au (0.000, 0.000, 0.000)
Pd (0.500, 0.500, 0.500)
Bi (0.250, 0.250, 0.250)
La (0.750, 0.750, 0.750)

***

No. 2
Density functional theory data (PBE) for a relaxed structure of CaAc2As3Pt4.

Volume ... 221.8 Å³/cell
Energy of formation from the pure elements ... -0.93 eV/atom

Cell: 4.418 4.418 11.367 Å, 90.00 90.00 90.00°
Element x y z (fractional)
As (0.000, 0.000, 0.500)
As (0.000, 0.500, 0.121)
As (0.500, 0.000, 0.879)
Ca (0.500, 0.500, 0.500)
Ac (0.000, 0.500, 0.775)
Ac (0.500, 0.000, 0.225)
Pt (0.000, 0.500, 0.339)
Pt (0.500, 0.500, 0.000)
Pt (0.500, 0.000, 0.661)
Pt (0.000, 0.000, 0.000)

***

No. 3
Density functional theory data (PBE) for a relaxed structure of BAsPd.

E above lowest polymorph ... 12.25 kJ per mole of atoms
Volume ... 91.7 Å³/cell
Energy of formation from the pure elements ... 0.09 eV/atom

Cell: 4.277 3.474 6.173 Å, 90.00 90.00 90.00°
Element x y z (fractional)
Pd (0.000, 0.500, 0.560)
Pd (0.000, 0.000, 0.060)
B (0.500, 0.000, 0.152)
B (0.500, 0.500, 0.652)
As (0.500, 0.000, 0.821)
As (0.500, 0.500, 0.321)

***

No. 4
Density functional theory data (PBE) for a relaxed structure of Cs3Zn2Te4.

E above lowest polymorph ... 0.00 kJ per mole of atoms
Volume ... 370.1 Å³/cell
Formation energy from raw total energies ... -0.7185 eV/atom

Cell: 4.331 9.202 11.023 Å, 118.98 90.00 103.61°
Element x y z (fractional)
Cs (0.608, 0.216, 0.710)
Cs (0.392, 0.784, 0.290)
Cs (0.000, 0.000, 0.000)
Te (0.871, 0.741, 0.583)
Te (0.129, 0.259, 0.417)
Te (0.695, 0.391, 0.116)
Te (0.305, 0.609, 0.884)
Zn (0.303, 0.605, 0.645)
Zn (0.697, 0.395, 0.355)